Ba2CaTl: optimized geometry, GGA-PBE.

```
data_Ba2CaTl
_chemical_formula_sum 'Ba4 Ca2 Tl2'
_cell_length_a 5.679
_cell_length_b 4.304
_cell_length_c 14.852
_cell_angle_alpha 90.00
_cell_angle_beta 90.00
_cell_angle_gamma 90.00
_space_group_name_H-M_alt 'A m m 2'
_space_group_IT_number 38
_space_group_name_Hall 'A 2 -2'
loop_
_atom_site_label
_atom_site_fract_x
_atom_site_fract_y
_atom_site_fract_z
_atom_site_occupancy
Ba1 0.000 0.000 0.000 1
Ba2 0.500 0.000 0.329 1
Ca1 0.500 0.000 0.615 1
Tl1 0.000 0.000 0.732 1
```

Properties
Magnetization = 0.00 μB per formula unit
Energy relative to the lowest polymorph listed for this composition = 73 meV per atom
Formation enthalpy at 0 K = -0.6 eV/f.u.